Entry 1:
# Ac2Tb2Nd7 | Alexandria via LeMat-Bulk | PBE-GGA | relaxed
# N(E_F)	1.5480	states/eV/atom
# formation enthalpy at 0 K	0.173	eV/atom
# E_tot	-4.450	eV per atom
# calculated density	7.17	g cm⁻³
# polymorph energy (0 for the lowest one)	0.020	eV per atom
data_Ac2Tb2Nd7
_chemical_formula_sum 'Ac4 Tb4 Nd14'
_cell_length_a 3.7038
_cell_length_b 18.2639
_cell_length_c 12.1972
_cell_angle_alpha 90.00
_cell_angle_beta 90.00
_cell_angle_gamma 90.00
_symmetry_space_group_name_H-M 'I m m 2'
_symmetry_Int_Tables_number 44
_symmetry_space_group_name_Hall 'I 2 -2'
loop_
_atom_site_label
_atom_site_fract_x
_atom_site_fract_y
_atom_site_fract_z
Ac1 0.0000 0.2013 0.0000
Tb1 0.0000 0.0000 0.7788
Tb2 0.0000 0.5000 0.8351
Nd1 0.0000 0.0000 0.0862
Nd2 0.0000 0.1113 0.5116
Nd3 0.0000 0.3321 0.7570
Nd4 0.0000 0.3344 0.2427


Entry 2:
# Ac8Tb3Nd2 | Alexandria via LeMat-Bulk | PBE-GGA | relaxed
# N(E_F)	1.7417	states/eV/atom
# formation enthalpy at 0 K	0.050	eV/atom
# E_tot	-4.280	eV per atom
# calculated density	8.18	g cm⁻³
data_Ac8Tb3Nd2
_chemical_formula_sum 'Ac8 Tb3 Nd2'
_cell_length_a 6.6731
_cell_length_b 6.6947
_cell_length_c 12.1124
_cell_angle_alpha 90.16
_cell_angle_beta 100.67
_cell_angle_gamma 99.67
_symmetry_space_group_name_H-M 'P -1'
_symmetry_Int_Tables_number 2
_symmetry_space_group_name_Hall '-P 1'
loop_
_atom_site_label
_atom_site_fract_x
_atom_site_fract_y
_atom_site_fract_z
Ac1 0.0427 0.4142 0.1491
Ac2 0.1962 0.1187 0.7778
Ac3 0.3420 0.8068 0.3825
Ac4 0.4190 0.6556 0.6951
Tb1 0.2755 0.9606 0.0733
Tb2 0.5000 0.5000 0.0000
Nd1 0.1130 0.2671 0.4627


Entry 3:
# Ac2Tb7Nd3 | Alexandria via LeMat-Bulk | PBE-GGA | relaxed
# N(E_F)	1.5434	states/eV/atom
# formation enthalpy at 0 K	0.106	eV/atom
# E_tot	-4.471	eV per atom
# calculated density	7.90	g cm⁻³
data_Ac2Tb7Nd3
_chemical_formula_sum 'Ac2 Tb7 Nd3'
_cell_length_a 6.4756
_cell_length_b 3.6306
_cell_length_c 17.9995
_cell_angle_alpha 90.00
_cell_angle_beta 96.60
_cell_angle_gamma 90.00
_symmetry_space_group_name_H-M 'P 1 2/m 1'
_symmetry_Int_Tables_number 10
_symmetry_space_group_name_Hall '-P 2y'
loop_
_atom_site_label
_atom_site_fract_x
_atom_site_fract_y
_atom_site_fract_z
Ac1 0.0544 0.0000 0.1747
Tb1 0.0000 0.5000 0.5000
Tb2 0.2273 0.0000 0.6619
Tb3 0.2585 0.0000 0.0007
Tb4 0.2774 0.5000 0.3404
Nd1 0.4549 0.5000 0.8402
Nd2 0.5000 0.0000 0.5000


Entry 4:
# Ac2Tb2Nd7 | Alexandria via LeMat-Bulk | PBE-GGA | relaxed
# N(E_F)	1.5697	states/eV/atom
# formation enthalpy at 0 K	0.152	eV/atom
# E_tot	-4.471	eV per atom
# calculated density	7.30	g cm⁻³
# polymorph energy (0 for the lowest one)	0.000	eV per atom
data_Ac2Tb2Nd7
_chemical_formula_sum 'Ac4 Tb4 Nd14'
_cell_length_a 11.5527
_cell_length_b 12.0897
_cell_length_c 6.2706
_cell_angle_alpha 90.00
_cell_angle_beta 112.21
_cell_angle_gamma 90.00
_symmetry_space_group_name_H-M 'C 1 2/m 1'
_symmetry_Int_Tables_number 12
_symmetry_space_group_name_Hall '-C 2y'
loop_
_atom_site_label
_atom_site_fract_x
_atom_site_fract_y
_atom_site_fract_z
Ac1 0.2221 0.0000 0.0910
Tb1 0.0000 0.2325 0.0000
Nd1 0.0000 0.0000 0.5000
Nd2 0.0810 0.5000 0.3002
Nd3 0.1742 0.2351 0.6703


Entry 5:
# Ac2Tb2Nd3 | Alexandria via LeMat-Bulk | PBE-GGA | relaxed
# N(E_F)	1.7853	states/eV/atom
# formation enthalpy at 0 K	0.144	eV/atom
# E_tot	-4.397	eV per atom
# calculated density	7.63	g cm⁻³
data_Ac2Tb2Nd3
_chemical_formula_sum 'Ac4 Tb4 Nd6'
_cell_length_a 10.0981
_cell_length_b 5.8478
_cell_length_c 9.5157
_cell_angle_alpha 90.00
_cell_angle_beta 111.01
_cell_angle_gamma 90.00
_symmetry_space_group_name_H-M 'C 1 2/m 1'
_symmetry_Int_Tables_number 12
_symmetry_space_group_name_Hall '-C 2y'
loop_
_atom_site_label
_atom_site_fract_x
_atom_site_fract_y
_atom_site_fract_z
Ac1 0.1345 0.0000 0.4018
Tb1 0.0938 0.5000 0.7814
Nd1 0.0000 0.0000 0.0000
Nd2 0.2276 0.5000 0.1836


Entry 6:
# Ac7Tb2Nd | Alexandria via LeMat-Bulk | PBE-GGA | relaxed
# N(E_F)	1.4519	states/eV/atom
# formation enthalpy at 0 K	0.614	eV/atom
# E_tot	-3.664	eV per atom
# calculated density	6.65	g cm⁻³
data_Ac7Tb2Nd
_chemical_formula_sum 'Ac14 Tb4 Nd2'
_cell_length_a 10.1770
_cell_length_b 16.4451
_cell_length_c 6.1209
_cell_angle_alpha 90.00
_cell_angle_beta 90.00
_cell_angle_gamma 90.00
_symmetry_space_group_name_H-M 'C m m m'
_symmetry_Int_Tables_number 65
_symmetry_space_group_name_Hall '-C 2 2'
loop_
_atom_site_label
_atom_site_fract_x
_atom_site_fract_y
_atom_site_fract_z
Ac1 0.0000 0.0000 0.0000
Ac2 0.0000 0.2571 0.5000
Ac3 0.1852 0.3750 0.0000
Tb1 0.0000 0.2008 0.0000
Nd1 0.0000 0.5000 0.5000


Entry 7:
# AcTbNd2 | Alexandria via LeMat-Bulk | PBE-GGA | relaxed
# N(E_F)	2.3839	states/eV/atom
# formation enthalpy at 0 K	0.116	eV/atom
# E_tot	-4.453	eV per atom
# calculated density	7.60	g cm⁻³
# polymorph energy (0 for the lowest one)	0.085	eV per atom
data_AcTbNd2
_chemical_formula_sum 'Ac1 Tb1 Nd2'
_cell_length_a 4.2813
_cell_length_b 4.2813
_cell_length_c 8.0346
_cell_angle_alpha 90.00
_cell_angle_beta 90.00
_cell_angle_gamma 90.00
_symmetry_space_group_name_H-M 'P 4/m m m'
_symmetry_Int_Tables_number 123
_symmetry_space_group_name_Hall '-P 4 2'
loop_
_atom_site_label
_atom_site_fract_x
_atom_site_fract_y
_atom_site_fract_z
Ac1 0.0000 0.0000 0.0000
Tb1 0.0000 0.0000 0.5000
Nd1 0.5000 0.5000 0.2798


Entry 8:
# AcTb4Nd10 | Alexandria via LeMat-Bulk | PBE-GGA | relaxed
# N(E_F)	1.7454	states/eV/atom
# formation enthalpy at 0 K	0.473	eV/atom
# E_tot	-4.214	eV per atom
# calculated density	6.68	g cm⁻³
data_AcTb4Nd10
_chemical_formula_sum 'Ac2 Tb8 Nd20'
_cell_length_a 12.8300
_cell_length_b 12.8300
_cell_length_c 6.9659
_cell_angle_alpha 90.00
_cell_angle_beta 90.00
_cell_angle_gamma 90.00
_symmetry_space_group_name_H-M 'I 4/m'
_symmetry_Int_Tables_number 87
_symmetry_space_group_name_Hall '-I 4'
loop_
_atom_site_label
_atom_site_fract_x
_atom_site_fract_y
_atom_site_fract_z
Ac1 0.0000 0.0000 0.0000
Tb1 0.0674 0.8214 0.5000
Nd1 0.0000 0.5000 0.2500
Nd2 0.1291 0.2908 0.2477


Entry 9:
# Ac12TbNd6 | Alexandria via LeMat-Bulk | PBE-GGA | relaxed
# N(E_F)	1.8845	states/eV/atom
# formation enthalpy at 0 K	0.039	eV/atom
# E_tot	-4.306	eV per atom
# calculated density	7.94	g cm⁻³
data_Ac12TbNd6
_chemical_formula_sum 'Ac36 Tb3 Nd18'
_cell_length_a 16.8753
_cell_length_b 16.8753
_cell_length_c 9.5315
_cell_angle_alpha 90.00
_cell_angle_beta 90.00
_cell_angle_gamma 120.00
_symmetry_space_group_name_H-M 'R -3'
_symmetry_Int_Tables_number 148
_symmetry_space_group_name_Hall '-R 3'
loop_
_atom_site_label
_atom_site_fract_x
_atom_site_fract_y
_atom_site_fract_z
Ac1 0.0344 0.2761 0.3421
Ac2 0.0732 0.5632 0.6648
Tb1 0.0000 0.0000 0.0000
Nd1 0.0159 0.1341 0.6668


Entry 10:
# Ac8Tb2Nd | Alexandria via LeMat-Bulk | PBE-GGA | relaxed
# N(E_F)	1.5090	states/eV/atom
# formation enthalpy at 0 K	0.356	eV/atom
# E_tot	-3.907	eV per atom
# calculated density	7.52	g cm⁻³
data_Ac8Tb2Nd
_chemical_formula_sum 'Ac16 Tb4 Nd2'
_cell_length_a 13.4459
_cell_length_b 12.3134
_cell_length_c 6.2308
_cell_angle_alpha 90.00
_cell_angle_beta 102.85
_cell_angle_gamma 90.00
_symmetry_space_group_name_H-M 'C 1 2/m 1'
_symmetry_Int_Tables_number 12
_symmetry_space_group_name_Hall '-C 2y'
loop_
_atom_site_label
_atom_site_fract_x
_atom_site_fract_y
_atom_site_fract_z
Ac1 0.0798 0.0000 0.2928
Ac2 0.1113 0.2459 0.8098
Ac3 0.1432 0.5000 0.5067
Tb1 0.2379 0.0000 0.9191
Nd1 0.0000 0.5000 0.0000


Entry 11:
# AcTbNd4 | Alexandria via LeMat-Bulk | PBE-GGA | relaxed
# N(E_F)	1.9371	states/eV/atom
# formation enthalpy at 0 K	0.514	eV/atom
# E_tot	-4.121	eV per atom
# calculated density	6.29	g cm⁻³
# polymorph energy (0 for the lowest one)	0.344	eV per atom
data_AcTbNd4
_chemical_formula_sum 'Ac4 Tb4 Nd16'
_cell_length_a 11.9303
_cell_length_b 7.1986
_cell_length_c 11.8353
_cell_angle_alpha 90.00
_cell_angle_beta 90.00
_cell_angle_gamma 90.00
_symmetry_space_group_name_H-M 'C m c m'
_symmetry_Int_Tables_number 63
_symmetry_space_group_name_Hall '-C 2c 2'
loop_
_atom_site_label
_atom_site_fract_x
_atom_site_fract_y
_atom_site_fract_z
Ac1 0.0000 0.9998 0.2500
Tb1 0.0000 0.4997 0.2500
Nd1 0.0000 0.2603 0.0000
Nd2 0.2501 0.2494 0.2500


Entry 12:
# Ac3TbNd | Alexandria via LeMat-Bulk | PBE-GGA | relaxed
# N(E_F)	1.9575	states/eV/atom
# formation enthalpy at 0 K	0.181	eV/atom
# E_tot	-4.164	eV per atom
# calculated density	7.92	g cm⁻³
# polymorph energy (0 for the lowest one)	0.089	eV per atom
data_Ac3TbNd
_chemical_formula_sum 'Ac12 Tb4 Nd4'
_cell_length_a 12.4259
_cell_length_b 7.5195
_cell_length_c 9.3593
_cell_angle_alpha 90.00
_cell_angle_beta 109.38
_cell_angle_gamma 90.00
_symmetry_space_group_name_H-M 'C 1 2/m 1'
_symmetry_Int_Tables_number 12
_symmetry_space_group_name_Hall '-C 2y'
loop_
_atom_site_label
_atom_site_fract_x
_atom_site_fract_y
_atom_site_fract_z
Ac1 0.1544 0.2503 0.1177
Ac2 0.2499 0.0000 0.4988
Tb1 0.0566 0.5000 0.7275
Nd1 0.0575 0.0000 0.7293


Entry 13:
# AcTb8Nd2 | Alexandria via LeMat-Bulk | PBE-GGA | relaxed
# N(E_F)	1.3821	states/eV/atom
# formation enthalpy at 0 K	0.131	eV/atom
# E_tot	-4.477	eV per atom
# calculated density	7.87	g cm⁻³
# polymorph energy (0 for the lowest one)	0.000	eV per atom
data_AcTb8Nd2
_chemical_formula_sum 'Ac2 Tb16 Nd4'
_cell_length_a 5.5666
_cell_length_b 8.3437
_cell_length_c 16.2282
_cell_angle_alpha 90.00
_cell_angle_beta 90.00
_cell_angle_gamma 90.00
_symmetry_space_group_name_H-M 'I m m m'
_symmetry_Int_Tables_number 71
_symmetry_space_group_name_Hall '-I 2 2'
loop_
_atom_site_label
_atom_site_fract_x
_atom_site_fract_y
_atom_site_fract_z
Ac1 0.0000 0.0000 0.0000
Tb1 0.0000 0.2031 0.5000
Tb2 0.0000 0.2960 0.1440
Tb3 0.0000 0.5000 0.3397
Nd1 0.0000 0.0000 0.3004


Entry 14:
# Ac2Tb3Nd3 | Alexandria via LeMat-Bulk | PBE-GGA | relaxed
# N(E_F)	1.3141	states/eV/atom
# formation enthalpy at 0 K	0.155	eV/atom
# E_tot	-4.397	eV per atom
# calculated density	7.56	g cm⁻³
data_Ac2Tb3Nd3
_chemical_formula_sum 'Ac8 Tb12 Nd12'
_cell_length_a 3.8268
_cell_length_b 17.6398
_cell_length_c 17.7512
_cell_angle_alpha 90.00
_cell_angle_beta 90.00
_cell_angle_gamma 90.00
_symmetry_space_group_name_H-M 'C m c m'
_symmetry_Int_Tables_number 63
_symmetry_space_group_name_Hall '-C 2c 2'
loop_
_atom_site_label
_atom_site_fract_x
_atom_site_fract_y
_atom_site_fract_z
Ac1 0.0000 0.2484 0.1059
Tb1 0.0000 0.0919 0.7500
Tb2 0.0000 0.4562 0.6187
Nd1 0.0000 0.0928 0.5406
Nd2 0.0000 0.1158 0.2500


Entry 15:
# AcTb7Nd12 | Alexandria via LeMat-Bulk | PBE-GGA | relaxed
# N(E_F)	1.4189	states/eV/atom
# formation enthalpy at 0 K	0.625	eV/atom
# E_tot	-4.062	eV per atom
# calculated density	6.44	g cm⁻³
# polymorph energy (0 for the lowest one)	0.411	eV per atom
data_AcTb7Nd12
_chemical_formula_sum 'Ac2 Tb14 Nd24'
_cell_length_a 11.6552
_cell_length_b 11.6552
_cell_length_c 11.6552
_cell_angle_alpha 90.00
_cell_angle_beta 90.00
_cell_angle_gamma 90.00
_symmetry_space_group_name_H-M 'I m -3'
_symmetry_Int_Tables_number 204
_symmetry_space_group_name_Hall '-I 2 2 3'
loop_
_atom_site_label
_atom_site_fract_x
_atom_site_fract_y
_atom_site_fract_z
Ac1 0.0000 0.0000 0.0000
Tb1 0.0000 0.0000 0.5000
Tb2 0.2500 0.2500 0.2500
Nd1 0.0000 0.2591 0.2569


Entry 16:
# AcTb5Nd2 | Alexandria via LeMat-Bulk | PBE-GGA | relaxed
# N(E_F)	1.7964	states/eV/atom
# formation enthalpy at 0 K	0.041	eV/atom
# E_tot	-4.558	eV per atom
# calculated density	7.86	g cm⁻³
# polymorph energy (0 for the lowest one)	0.009	eV per atom
data_AcTb5Nd2
_chemical_formula_sum 'Ac4 Tb20 Nd8'
_cell_length_a 8.6677
_cell_length_b 11.4063
_cell_length_c 12.5457
_cell_angle_alpha 95.27
_cell_angle_beta 108.43
_cell_angle_gamma 106.24
_symmetry_space_group_name_H-M 'P -1'
_symmetry_Int_Tables_number 2
_symmetry_space_group_name_Hall '-P 1'
loop_
_atom_site_label
_atom_site_fract_x
_atom_site_fract_y
_atom_site_fract_z
Ac1 0.0271 0.4026 0.1805
Ac2 0.0982 0.3422 0.6927
Tb1 0.0410 0.9725 0.2533
Tb2 0.0912 0.7838 0.6209
Tb3 0.1492 0.1531 0.0545
Tb4 0.1672 0.7237 0.1309
Tb5 0.2156 0.5332 0.4963
Tb6 0.2769 0.9110 0.9340
Tb7 0.2942 0.4694 0.0076
Tb8 0.3528 0.8447 0.4440
Tb9 0.4069 0.6613 0.8079
Tb10 0.4741 0.5944 0.3204
Nd1 0.2236 0.0908 0.5672
Nd2 0.3445 0.2814 0.3711
Nd3 0.4138 0.2194 0.8822
Nd4 0.4663 0.0300 0.2446


Entry 17:
# Ac2Tb2Nd | Alexandria via LeMat-Bulk | PBE-GGA | relaxed
# N(E_F)	1.4043	states/eV/atom
# formation enthalpy at 0 K	0.085	eV/atom
# E_tot	-4.364	eV per atom
# calculated density	8.04	g cm⁻³
data_Ac2Tb2Nd
_chemical_formula_sum 'Ac8 Tb8 Nd4'
_cell_length_a 17.8634
_cell_length_b 6.7925
_cell_length_c 6.5405
_cell_angle_alpha 90.00
_cell_angle_beta 107.47
_cell_angle_gamma 90.00
_symmetry_space_group_name_H-M 'C 1 2/c 1'
_symmetry_Int_Tables_number 15
_symmetry_space_group_name_Hall '-C 2yc'
loop_
_atom_site_label
_atom_site_fract_x
_atom_site_fract_y
_atom_site_fract_z
Ac1 0.1922 0.1479 0.1936
Tb1 0.0869 0.3832 0.6580
Nd1 0.0000 0.0783 0.2500


Entry 18:
# AcTb9Nd2 | Alexandria via LeMat-Bulk | PBE-GGA | relaxed
# N(E_F)	1.4872	states/eV/atom
# formation enthalpy at 0 K	0.030	eV/atom
# E_tot	-4.580	eV per atom
# calculated density	8.06	g cm⁻³
data_AcTb9Nd2
_chemical_formula_sum 'Ac1 Tb9 Nd2'
_cell_length_a 5.1104
_cell_length_b 5.1104
_cell_length_c 15.3505
_cell_angle_alpha 90.00
_cell_angle_beta 90.00
_cell_angle_gamma 90.00
_symmetry_space_group_name_H-M 'P 4/m m m'
_symmetry_Int_Tables_number 123
_symmetry_space_group_name_Hall '-P 4 2'
loop_
_atom_site_label
_atom_site_fract_x
_atom_site_fract_y
_atom_site_fract_z
Ac1 0.0000 0.0000 0.0000
Tb1 0.0000 0.5000 0.1718
Tb2 0.0000 0.5000 0.5000
Tb3 0.5000 0.5000 0.0000
Tb4 0.5000 0.5000 0.3359
Nd1 0.0000 0.0000 0.3349


Entry 19:
# AcTb2Nd | Alexandria via LeMat-Bulk | PBE-GGA | relaxed
# N(E_F)	1.6377	states/eV/atom
# formation enthalpy at 0 K	0.041	eV/atom
# E_tot	-4.493	eV per atom
# calculated density	8.03	g cm⁻³
# polymorph energy (0 for the lowest one)	0.002	eV per atom
data_AcTb2Nd
_chemical_formula_sum 'Ac1 Tb2 Nd1'
_cell_length_a 5.2618
_cell_length_b 5.2618
_cell_length_c 5.1461
_cell_angle_alpha 90.00
_cell_angle_beta 90.00
_cell_angle_gamma 90.00
_symmetry_space_group_name_H-M 'P 4/m m m'
_symmetry_Int_Tables_number 123
_symmetry_space_group_name_Hall '-P 4 2'
loop_
_atom_site_label
_atom_site_fract_x
_atom_site_fract_y
_atom_site_fract_z
Ac1 0.0000 0.0000 0.0000
Tb1 0.0000 0.5000 0.5000
Nd1 0.5000 0.5000 0.0000


Entry 20:
# Ac3Tb6Nd | Alexandria via LeMat-Bulk | PBE-GGA | relaxed
# N(E_F)	2.4673	states/eV/atom
# formation enthalpy at 0 K	0.418	eV/atom
# E_tot	-4.069	eV per atom
# calculated density	7.87	g cm⁻³
data_Ac3Tb6Nd
_chemical_formula_sum 'Ac9 Tb18 Nd3'
_cell_length_a 10.1100
_cell_length_b 10.1100
_cell_length_c 12.7158
_cell_angle_alpha 90.00
_cell_angle_beta 90.00
_cell_angle_gamma 120.00
_symmetry_space_group_name_H-M 'R -3'
_symmetry_Int_Tables_number 148
_symmetry_space_group_name_Hall '-R 3'
loop_
_atom_site_label
_atom_site_fract_x
_atom_site_fract_y
_atom_site_fract_z
Ac1 0.0000 0.0000 0.0000
Ac2 0.0000 0.0000 0.2591
Tb1 0.0012 0.3277 0.5744
Nd1 0.0000 0.0000 0.5000